PBE-GGA LuZrAgOs, relaxed; DFT total energy = -7.0775 eV per atom; volume = 78.04 Å³/cell
1.0
4.7968 0.0000 0.0000
2.3984 4.1541 0.0000
2.3984 1.3847 3.9165
Lu Os Zr Ag
1 1 1 1
Direct
0.7500 0.7500 0.7500
0.0000 0.0000 0.0000
0.2500 0.2500 0.2500
0.5000 0.5000 0.5000